No. 1
# PrTl2Ni

A relaxed PrTl2Ni crystal (PBE, the Alexandria database).

Symmetry: No. 166
Formation enthalpy at 0 K: 0.30 eV/atom

Lattice parameters (Å, degrees): 10.182 10.182 10.182 20.26 20.26 20.26
Fractional coordinates of all 4 atoms:
Pr 0.000 0.000 0.000
Tl 0.108 0.108 0.108
Tl 0.892 0.892 0.892
Ni 0.500 0.500 0.500

No. 2
# Sr2LiSn3Au4

A relaxed Sr2LiSn3Au4 crystal (PBE, the Alexandria database).

Symmetry: No. 115
Formation enthalpy at 0 K: -0.60 eV/atom

Lattice parameters (Å, degrees): 4.797 4.797 10.859 90.00 90.00 90.00
Fractional coordinates of all 10 atoms:
Sr 0.000 0.500 0.242
Sr 0.500 0.000 0.758
Li 0.000 0.000 0.500
Sn 0.000 0.500 0.868
Sn 0.500 0.000 0.132
Sn 0.500 0.500 0.500
Au 0.000 0.000 0.000
Au 0.000 0.500 0.619
Au 0.500 0.000 0.381
Au 0.500 0.500 0.000

No. 3
# MgCd2In8

A relaxed MgCd2In8 crystal (PBE, the Alexandria database).

Symmetry: No. 12
Formation enthalpy at 0 K: 0.06 eV/atom
Polymorph energy (0 for the lowest one): 24 meV/atom

Lattice parameters (Å, degrees): 7.823 7.823 5.354 97.78 97.78 74.02
Fractional coordinates of all 11 atoms:
Mg 0.000 0.000 0.000
Cd 0.125 0.125 0.542
Cd 0.875 0.875 0.458
In 0.206 0.643 0.209
In 0.244 0.244 0.105
In 0.357 0.794 0.791
In 0.383 0.383 0.672
In 0.617 0.617 0.328
In 0.643 0.206 0.209
In 0.756 0.756 0.895
In 0.794 0.357 0.791

No. 4
# Ba2AsHPd

A relaxed Ba2AsHPd crystal (PBE, the Alexandria database).

Symmetry: No. 11
Polymorph energy (0 for the lowest one): 0 meV/atom

Lattice parameters (Å, degrees): 6.943 4.596 8.954 90.00 108.20 90.00
Fractional coordinates of all 10 atoms:
Ba 0.227 0.250 0.417
Ba 0.248 0.250 0.952
Ba 0.752 0.750 0.048
Ba 0.773 0.750 0.583
As 0.351 0.750 0.709
As 0.649 0.250 0.291
H 0.164 0.750 0.160
H 0.836 0.250 0.840
Pd 0.427 0.750 0.234
Pd 0.573 0.250 0.766

no.,D(E_F) (states/eV/atom),size of the total moment (μB/cell),calculated volume (Å³/atom)
1,0.77,0.0,27.70
2,0.34,0.0,24.98
3,0.41,0.0,28.22
4,0.01,0.0,27.15